Entry 1:
# AcThAgHg (GGA-PBE, relaxed)
# Crystal system = cubic
# ΔH_f (0 K) = -0.171 eV per atom
data_AcThAgHg
_cell_length_a 5.500
_cell_length_b 5.500
_cell_length_c 5.500
_cell_angle_alpha 60.00
_cell_angle_beta 60.00
_cell_angle_gamma 60.00
_symmetry_space_group_name_H-M 'P 1'
_symmetry_Int_Tables_number 1
loop_
_symmetry_equiv_pos_as_xyz
'x,y,z'
loop_
_atom_site_label
_atom_site_fract_x
_atom_site_fract_y
_atom_site_fract_z
Ag1 0.750 0.750 0.750
Th1 0.000 0.000 0.000
Ac1 0.500 0.500 0.500
Hg1 0.250 0.250 0.250

---

Entry 2:
# AcTlAgHg (GGA-PBE, relaxed)
# Crystal system = cubic
# ΔH_f (0 K) = -0.308 eV per atom
data_AcTlAgHg
_cell_length_a 5.386
_cell_length_b 5.386
_cell_length_c 5.386
_cell_angle_alpha 60.00
_cell_angle_beta 60.00
_cell_angle_gamma 60.00
_symmetry_space_group_name_H-M 'P 1'
_symmetry_Int_Tables_number 1
loop_
_symmetry_equiv_pos_as_xyz
'x,y,z'
loop_
_atom_site_label
_atom_site_fract_x
_atom_site_fract_y
_atom_site_fract_z
Tl1 0.500 0.500 0.500
Ag1 0.250 0.250 0.250
Hg1 0.750 0.750 0.750
Ac1 0.000 0.000 0.000